3
Lattice="-4.390 -2.841 -1.700 1.062 -3.021 -4.470 1.104 0.908 5.309" Properties=species:S:1:pos:R:3 comment="GGA-PBE KRhCl, optimized geometry" vol_a3_per_atom=25.111 total_energy_ev_per_fu=-9.94 raw_formation_energy_ev_per_atom=0.12 relative_energy_ev_per_fu=0.92 sg="Imm2 (44)" pbc="T T T"
K -1.108 -1.952 -2.054
Rh -2.361 -4.159 -4.376
Cl -3.188 -5.614 -5.908